The following is a DFT calculation (PBE) of a geometry-optimized TbSm2Er6Tm structure.

Unit cell a=8.704 b=8.704 c=9.571 alpha=94.40 beta=94.40 gamma=118.07
Positions (direct):
1 Tb 0.020 0.980 0.750
2 Tb 0.980 0.020 0.250
3 Sm 0.195 0.299 0.543
4 Sm 0.299 0.195 0.043
5 Sm 0.701 0.805 0.957
6 Sm 0.805 0.701 0.457
7 Er 0.020 0.573 0.686
8 Er 0.126 0.746 0.057
9 Er 0.254 0.874 0.443
10 Er 0.292 0.504 0.881
11 Er 0.427 0.980 0.814
12 Er 0.496 0.708 0.619
13 Er 0.504 0.292 0.381
14 Er 0.573 0.020 0.186
15 Er 0.708 0.496 0.119
16 Er 0.746 0.126 0.557
17 Er 0.874 0.254 0.943
18 Er 0.980 0.427 0.314
19 Tm 0.408 0.592 0.250
20 Tm 0.592 0.408 0.750

total moment: 0.00 μB/cell
formation energy: 0.12 eV per atom
E: -4.474 eV per atom
DOS(E_F): 1.320 states/eV/atom
crystal system: monoclinic